No. 1
A relaxed PrPS crystal, computed with PBEsol.

The structure belongs to space group Pnma (No. 62); the cell edges are 7.198, 3.730 and 9.419 Å and the angles 90.00°, 90.00° and 90.00°. Symmetry generates all atoms from Pr at (0.201, 0.250, 0.158), P at (0.084, 0.250, 0.462) and S at (0.101, 0.250, 0.845).

The density of states at the Fermi level is 0.089 states/eV per atom. The formation energy (no corrections) is -1541 meV per atom. For the total energy, the calculation gives -6.6611 eV per atom.


No. 2
A relaxed PrTlP2Se6 crystal, computed with PBEsol.

The structure belongs to space group P2_1/c (No. 14); the cell edges are 12.184, 7.692 and 11.682 Å and the angles 90.00°, 109.49° and 90.00°. Symmetry generates all atoms from Pr at (0.151, 0.103, 0.406), Tl at (0.373, 0.592, 0.628), P at (0.177, 0.597, 0.247), P at (0.295, 0.119, 0.734), Se at (0.049, 0.031, 0.817), Se at (0.090, 0.696, 0.061), Se at (0.172, 0.181, 0.134), Se at (0.292, 0.710, 0.866), Se at (0.377, 0.214, 0.922) and Se at (0.394, 0.015, 0.626).

The density of states at the Fermi level is 0.000 states/eV per atom. The formation energy (no corrections) is -641 meV per atom. For the total energy, the calculation gives -4.8907 eV per atom.


Among the records above, which one has the highest formation energy (no corrections)?
PrTlP2Se6


total energy of number 1 (PrPS)?
-6.6611 eV per atom